Record 1
A geometry-optimized Hf2SiTe structure. Source: the Alexandria database, functional PBE.

## Properties
- Relative energy among the computed polymorphs: 787.1 meV per atom

a = 6.152 Å, b = 6.152 Å, c = 12.610 Å
α = 90.00°, β = 90.00°, γ = 90.00°
Space group I-42d (No. 122)
Symmetry-distinct sites (fractional):
Hf (0.207, 0.250, 0.125) [8 per cell]
Si (0.000, 0.000, 0.000) [4 per cell]
Te (0.000, 0.000, 0.500) [4 per cell]



Record 2
A geometry-optimized HfSiTe2 structure. Source: the Alexandria database, functional PBE.

## Properties
- VASP energy: -81.2 eV for the cell shown

a = 6.775 Å, b = 6.775 Å, c = 11.715 Å
α = 90.00°, β = 90.00°, γ = 90.00°
Space group I-42d (No. 122)
Symmetry-distinct sites (fractional):
Hf (0.000, 0.000, 0.000) [4 per cell]
Si (0.000, 0.000, 0.500) [4 per cell]
Te (0.246, 0.250, 0.125) [8 per cell]



Record 3
A geometry-optimized Hf4SiTe5 structure. Source: the Alexandria database, functional PBE.

## Properties
- VASP energy: -136.9 eV for the cell shown

a = 17.490 Å, b = 3.882 Å, c = 8.092 Å
α = 90.00°, β = 101.93°, γ = 90.00°
Space group C2/m (No. 12)
Symmetry-distinct sites (fractional):
Hf (0.000, 0.000, 0.223) [4 per cell]
Hf (0.153, 0.500, 0.072) [4 per cell]
Si (0.000, 0.500, 0.000) [2 per cell]
Te (0.000, 0.500, 0.500) [2 per cell]
Te (0.166, 0.000, 0.338) [4 per cell]
Te (0.171, 0.000, 0.815) [4 per cell]



Record 4
A geometry-optimized HfSiTe3 structure. Source: the Alexandria database, functional PBE.

## Properties
- Relative energy among the computed polymorphs: 158.9 meV per atom

a = 5.163 Å, b = 5.163 Å, c = 5.163 Å
α = 90.00°, β = 90.00°, γ = 90.00°
Space group Pm-3m (No. 221)
Symmetry-distinct sites (fractional):
Hf (0.000, 0.000, 0.000) [1 per cell]
Si (0.500, 0.500, 0.500) [1 per cell]
Te (0.000, 0.500, 0.500) [3 per cell]



Record 5
A geometry-optimized HfSiTe4 structure. Source: the Alexandria database, functional PBE.

## Properties
- VASP energy: -58.3 eV for the cell shown

a = 6.512 Å, b = 6.512 Å, c = 10.721 Å
α = 90.00°, β = 90.00°, γ = 90.00°
Space group P-42c (No. 112)
Symmetry-distinct sites (fractional):
Hf (0.000, 0.000, 0.000) [2 per cell]
Si (0.000, 0.500, 0.250) [2 per cell]
Te (0.247, 0.282, 0.379) [8 per cell]



Record 6
A geometry-optimized Hf2SiTe structure. Source: the Alexandria database, functional PBE.

## Properties
- Relative energy among the computed polymorphs: 344.6 meV per atom

a = 6.856 Å, b = 6.856 Å, c = 6.856 Å
α = 90.00°, β = 90.00°, γ = 90.00°
Space group Fm-3m (No. 225)
Symmetry-distinct sites (fractional):
Hf (0.250, 0.250, 0.250) [8 per cell]
Si (0.000, 0.000, 0.000) [4 per cell]
Te (0.000, 0.000, 0.500) [4 per cell]



Record 7
A geometry-optimized HfSiTe3 structure. Source: the Alexandria database, functional PBE.

## Properties
- Relative energy among the computed polymorphs: 0.0 meV per atom

a = 5.537 Å, b = 5.537 Å, c = 5.537 Å
α = 90.00°, β = 90.00°, γ = 90.00°
Space group Pm-3m (No. 221)
Symmetry-distinct sites (fractional):
Hf (0.000, 0.000, 0.000) [1 per cell]
Si (0.500, 0.500, 0.500) [1 per cell]
Te (0.000, 0.000, 0.500) [3 per cell]



Record 8
A geometry-optimized Hf2Si2Te structure. Source: the Alexandria database, functional PBE.

## Properties
- VASP energy: -71.6 eV for the cell shown

a = 7.513 Å, b = 7.513 Å, c = 3.576 Å
α = 90.00°, β = 90.00°, γ = 90.00°
Space group P4/mbm (No. 127)
Symmetry-distinct sites (fractional):
Hf (0.167, 0.333, 0.000) [4 per cell]
Si (0.118, 0.618, 0.500) [4 per cell]
Te (0.000, 0.000, 0.000) [2 per cell]



Record 9
A geometry-optimized HfThSi2 structure. Source: the Alexandria database, functional PBE.

## Properties
- VASP energy: -91.5 eV for the cell shown

a = 4.0597 Å, b = 4.0597 Å, c = 19.3379 Å
α = 90.00°, β = 90.00°, γ = 120.00°
Space group R-3m (No. 166, hexagonal axes)
Symmetry-distinct sites (fractional):
Hf (0.0000, 0.0000, 0.0000) [3 per cell]
Th (0.0000, 0.0000, 0.5000) [3 per cell]
Si (0.0000, 0.0000, 0.2610) [6 per cell]



Record 10
A geometry-optimized HfThSi structure. Source: the Alexandria database, functional PBE.

## Properties
- VASP energy: -92.7 eV for the cell shown

a = 7.313 Å, b = 7.313 Å, c = 5.785 Å
α = 90.00°, β = 90.00°, γ = 90.00°
Space group P4_2/mmc (No. 131)
Symmetry-distinct sites (fractional):
Hf (0.000, 0.197, 0.000) [4 per cell]
Th (0.235, 0.500, 0.500) [4 per cell]
Si (0.206, 0.500, 0.000) [4 per cell]



Record 11
A geometry-optimized HfTi2Si2 structure. Source: the Alexandria database, functional PBE.

## Properties
- Relative energy among the computed polymorphs: 0.0 meV per atom

a = 6.907 Å, b = 6.907 Å, c = 3.381 Å
α = 90.00°, β = 90.00°, γ = 90.00°
Space group P4/mbm (No. 127)
Symmetry-distinct sites (fractional):
Hf (0.000, 0.000, 0.000) [2 per cell]
Ti (0.172, 0.328, 0.500) [4 per cell]
Si (0.124, 0.624, 0.000) [4 per cell]



Record 12
A geometry-optimized HfTiSi3 structure. Source: the Alexandria database, functional PBE.

## Properties
- VASP energy: -29.2 eV for the cell shown

a = 4.889 Å, b = 4.889 Å, c = 4.889 Å
α = 90.00°, β = 90.00°, γ = 90.00°
Space group Pm-3m (No. 221)
Symmetry-distinct sites (fractional):
Hf (0.000, 0.000, 0.000) [1 per cell]
Ti (0.500, 0.500, 0.500) [1 per cell]
Si (0.000, 0.000, 0.500) [3 per cell]



These records have density values of 7.1; 5.7; 8.5; 7.1; 5.2; 10.6; 5.8; 8.9; 8.4; 9.4; 6.8; 4.4 g/cm³, in the order they appear.